Entry 1:
Compound: BaMo4
Source: Alexandria via LeMat-Bulk
Functional: GGA-PBE
Structure: optimized geometry

abc: 5.243 5.243 5.243
angles: 109.47 109.47 109.47
Atoms (fractional coordinates):
Mo 0.500 0.500 0.500
Mo 0.500 0.000 0.000
Mo 0.000 0.000 0.500
Mo 0.000 0.500 0.000
Ba 0.000 0.000 0.000

Computed properties:
The calculation puts the formation energy at 2.927 eV per atom. The density of states at the Fermi level comes out at 11.3 states/eV per cell. Its energy above the most stable polymorph in this dataset is 0.000 eV per atom. The total magnetization comes out at 0.0 μB per cell. The space-group type is Im-3m.

***

Entry 2:
Compound: Ac4SnHg3
Source: Alexandria via LeMat-Bulk
Functional: GGA-PBE
Structure: optimized geometry

abc: 4.564 4.933 12.412
angles: 90.00 90.00 90.00
Atoms (fractional coordinates):
Sn 0.500 0.500 0.080
Hg 0.000 0.000 0.418
Hg 0.000 0.500 0.583
Ac 0.000 0.000 0.141
Hg 0.500 0.000 0.918
Ac 0.000 0.500 0.859
Ac 0.500 0.500 0.362
Ac 0.500 0.000 0.638

Computed properties:
The calculation puts the formation energy at -0.497 eV per atom. The density of states at the Fermi level comes out at 9.5 states/eV per cell. Its energy above the most stable polymorph in this dataset is 0.018 eV per atom. The total magnetization comes out at 0.0 μB per cell. The space-group type is Pmm2.

***

Entry 3:
Compound: PuTiI6
Source: Alexandria via LeMat-Bulk
Functional: GGA-PBE
Structure: optimized geometry

abc: 7.243 7.884 7.884
angles: 125.20 98.43 98.43
Site moments in Bohr magnetons follow the coordinates.
Atoms (fractional coordinates):
I 0.731 0.580 0.875  -0.05
I 0.264 0.740 0.740  -0.05
Pu 0.000 0.000 0.000  5.23
I 0.269 0.125 0.420  -0.05
I 0.736 0.260 0.260  -0.05
I 0.731 0.875 0.580  -0.05
I 0.269 0.420 0.125  -0.05
Ti 0.500 0.500 0.500  0.87

Computed properties:
The density of states at the Fermi level comes out at 15.2 states/eV per cell. The total magnetization comes out at 6.0 μB per cell. The calculation puts the energy relative to the elements, uncorrected at -0.87 eV/atom. The space-group type is C2/m.